Entry from Alexandria via LeMat-Bulk: crystalline Cr2CdRe at its relaxed geometry (PBE-GGA).

a b c (Å): 9.1222 9.1222 9.1222
angles (deg): 17.44 17.44 17.44
With the nearest neighbours (Å) after each atom.
Positions (direct):
Cd  0.7500  0.7500  0.7500  6 Cd 2.77, 6 Cr 2.92
Cr  0.9928  0.9928  0.9928  3 Re 2.60, 6 Cr 2.77
Cr  0.5072  0.5072  0.5072  3 Re 2.60, 6 Cr 2.77
Re  0.2500  0.2500  0.2500  6 Cr 2.60, 6 Re 2.77

Values from the calculation:
Magnetic moment: 0.284 μB/f.u.
Formation enthalpy at 0 K: 478 meV per atom
D(E_F): 5.637 states/eV per cell
Final energy: -7.67 eV/atom
Theoretical density: 11.2 g/cm3

=====

Entry from Alexandria via LeMat-Bulk: crystalline Cr2CdRe at its relaxed geometry (PBE-GGA).

a b c (Å): 8.9357 8.9357 8.9357
angles (deg): 17.98 17.98 17.98
With the nearest neighbours (Å) after each atom.
Positions (direct):
Cd  0.7466  0.7466  0.7466  6 Cd 2.79, 3 Cr 2.95, 3 Re 3.03
Cr  0.9862  0.9862  0.9862  3 Cr 2.31
Cr  0.2569  0.2569  0.2569  3 Cr 2.31
Re  0.5104  0.5104  0.5104  3 Cr 2.65, 6 Re 2.79

Values from the calculation:
Magnetic moment: 0.231 μB/f.u.
Formation enthalpy at 0 K: 429 meV per atom
D(E_F): 4.622 states/eV per cell
Final energy: -7.72 eV/atom
Theoretical density: 11.3 g/cm3